# Pm5Tl2Au2 PBE optimized geometry
# DFT total energy (eV/f.u.): -39.5
# V (A^3/atom): 29.54
# Calculated formation energy (eV per atom): -0.49
# Calculated density (kg/m³): 9543
# Space-group type: Cmce
data_Pm5Tl2Au2
_chemical_formula_sum 'Pm10 Tl4 Au4'
_cell_length_a 7.514
_cell_length_b 8.738
_cell_length_c 9.200
_cell_angle_alpha 118.35
_cell_angle_beta 90.00
_cell_angle_gamma 90.00
_space_group_name_H-M_alt 'P 1'
_space_group_IT_number 1
loop_
_space_group_symop_operation_xyz
'x,y,z'
loop_
_atom_site_label
_atom_site_type_symbol
_atom_site_fract_x
_atom_site_fract_y
_atom_site_fract_z
Tl1 Tl 0.000 0.789 0.578
Pm1 Pm 0.654 0.052 0.741
Au1 Au 0.132 0.628 0.000
Pm2 Pm 0.500 0.500 0.000
Pm3 Pm 0.654 0.311 0.259
Au2 Au 0.868 0.372 0.000
Tl2 Tl 0.000 0.211 0.422
Pm4 Pm 0.846 0.811 0.259
Pm5 Pm 0.346 0.948 0.259
Pm6 Pm 0.154 0.189 0.741
Pm7 Pm 0.000 0.000 0.000
Pm8 Pm 0.154 0.448 0.259
Tl3 Tl 0.500 0.711 0.422
Pm9 Pm 0.346 0.689 0.741
Au3 Au 0.632 0.872 0.000
Tl4 Tl 0.500 0.289 0.578
Au4 Au 0.368 0.128 0.000
Pm10 Pm 0.846 0.552 0.741

=====

# VGa3Pd12 PBE optimized geometry
# DFT total energy (eV/f.u.): -87.2
# V (A^3/atom): 14.98
# Calculated formation energy (eV per atom): -0.42
# Calculated density (kg/m³): 10646
# Space-group type: P4/mmm
data_VGa3Pd12
_chemical_formula_sum 'V1 Ga3 Pd12'
_cell_length_a 3.910
_cell_length_b 3.910
_cell_length_c 15.683
_cell_angle_alpha 90.00
_cell_angle_beta 90.00
_cell_angle_gamma 90.00
_space_group_name_H-M_alt 'P 1'
_space_group_IT_number 1
loop_
_space_group_symop_operation_xyz
'x,y,z'
loop_
_atom_site_label
_atom_site_type_symbol
_atom_site_fract_x
_atom_site_fract_y
_atom_site_fract_z
Pd1 Pd 0.000 0.500 0.374
Pd2 Pd 0.500 0.000 0.120
Pd3 Pd 0.000 0.500 0.626
Pd4 Pd 0.000 0.500 0.120
Ga1 Ga 0.000 0.000 0.500
V1 V 0.000 0.000 0.000
Pd5 Pd 0.500 0.000 0.880
Ga2 Ga 0.000 0.000 0.746
Pd6 Pd 0.500 0.500 0.753
Pd7 Pd 0.000 0.500 0.880
Pd8 Pd 0.500 0.000 0.626
Pd9 Pd 0.500 0.500 0.000
Pd10 Pd 0.500 0.500 0.247
Pd11 Pd 0.500 0.500 0.500
Pd12 Pd 0.500 0.000 0.374
Ga3 Ga 0.000 0.000 0.254

=====

# FeNi2N PBE optimized geometry
# DFT total energy (eV/f.u.): -26.8
# V (A^3/atom): 10.41
# Calculated density (kg/m³): 7467
# Space-group type: I-42d
data_FeNi2N
_chemical_formula_sum 'Fe2 Ni4 N2'
_cell_length_a 6.664
_cell_length_b 6.664
_cell_length_c 5.071
_cell_angle_alpha 48.93
_cell_angle_beta 48.93
_cell_angle_gamma 90.00
_space_group_name_H-M_alt 'P 1'
_space_group_IT_number 1
loop_
_space_group_symop_operation_xyz
'x,y,z'
loop_
_atom_site_label
_atom_site_type_symbol
_atom_site_fract_x
_atom_site_fract_y
_atom_site_fract_z
Fe1 Fe 0.000 0.000 0.000
Fe2 Fe 0.750 0.250 0.500
Ni1 Ni 0.375 0.494 0.750
Ni2 Ni 0.875 0.756 0.750
N1 N 0.250 0.750 0.500
Ni3 Ni 0.244 0.625 0.250
Ni4 Ni 0.506 0.125 0.250
N2 N 0.500 0.500 0.000

=====

# Mn3CrCo PBE optimized geometry
# DFT total energy (eV/f.u.): -37.4
# V (A^3/atom): 16.05
# Calculated formation energy (eV per atom): 1.38
# Calculated density (kg/m³): 5707
# Excess energy over the best structure of this formula in the dataset (kJ/mol of atoms): 105.5
# Space-group type: Pm-3m
data_Mn3CrCo
_chemical_formula_sum 'Mn3 Cr1 Co1'
_cell_length_a 4.313
_cell_length_b 4.313
_cell_length_c 4.313
_cell_angle_alpha 90.00
_cell_angle_beta 90.00
_cell_angle_gamma 90.00
_space_group_name_H-M_alt 'P 1'
_space_group_IT_number 1
loop_
_space_group_symop_operation_xyz
'x,y,z'
loop_
_atom_site_label
_atom_site_type_symbol
_atom_site_fract_x
_atom_site_fract_y
_atom_site_fract_z
Cr1 Cr 0.500 0.500 0.500
Mn1 Mn 0.000 0.000 0.500
Co1 Co 0.000 0.000 0.000
Mn2 Mn 0.500 0.000 0.000
Mn3 Mn 0.000 0.500 0.000

=====

# AcSc2IO8 PBE optimized geometry
# DFT total energy (eV/f.u.): -84.6
# V (A^3/atom): 14.44
# Calculated density (kg/m³): 5478
# Space-group type: C2/m
data_AcSc2IO8
_chemical_formula_sum 'Ac1 Sc2 I1 O8'
_cell_length_a 4.987
_cell_length_b 4.989
_cell_length_c 7.070
_cell_angle_alpha 84.47
_cell_angle_beta 84.48
_cell_angle_gamma 83.58
_space_group_name_H-M_alt 'P 1'
_space_group_IT_number 1
loop_
_space_group_symop_operation_xyz
'x,y,z'
loop_
_atom_site_label
_atom_site_type_symbol
_atom_site_fract_x
_atom_site_fract_y
_atom_site_fract_z
Ac1 Ac 0.000 0.000 0.500
O1 O 0.748 0.748 0.027
O2 O 0.206 0.806 0.801
O3 O 0.194 0.794 0.199
Sc1 Sc 0.459 0.459 0.732
O4 O 0.252 0.252 0.973
O5 O 0.669 0.670 0.498
I1 I 0.000 0.000 0.000
Sc2 Sc 0.541 0.541 0.268
O6 O 0.331 0.330 0.502
O7 O 0.794 0.194 0.199
O8 O 0.806 0.206 0.801

=====

# Na2PPb PBE optimized geometry
# DFT total energy (eV/f.u.): -11.7
# V (A^3/atom): 23.70
# Calculated formation energy (eV per atom): 0.01
# Calculated density (kg/m³): 4977
# Excess energy over the best structure of this formula in the dataset (kJ/mol of atoms): 0.0
# Space-group type: Fm-3m
data_Na2PPb
_chemical_formula_sum 'Na2 P1 Pb1'
_cell_length_a 5.118
_cell_length_b 5.118
_cell_length_c 5.118
_cell_angle_alpha 60.00
_cell_angle_beta 60.00
_cell_angle_gamma 60.00
_space_group_name_H-M_alt 'P 1'
_space_group_IT_number 1
loop_
_space_group_symop_operation_xyz
'x,y,z'
loop_
_atom_site_label
_atom_site_type_symbol
_atom_site_fract_x
_atom_site_fract_y
_atom_site_fract_z
Na1 Na 0.750 0.750 0.750
Pb1 Pb 0.500 0.500 0.500
Na2 Na 0.250 0.250 0.250
P1 P 0.000 0.000 0.000

=====

# Ce2PmHo3Se6 PBE optimized geometry
# DFT total energy (eV/f.u.): -72.7
# V (A^3/atom): 24.87
# Calculated density (kg/m³): 7756
# Space-group type: C2/m
data_Ce2PmHo3Se6
_chemical_formula_sum 'Ce2 Pm1 Ho3 Se6'
_cell_length_a 7.097
_cell_length_b 7.097
_cell_length_c 7.244
_cell_angle_alpha 99.39
_cell_angle_beta 99.39
_cell_angle_gamma 120.08
_space_group_name_H-M_alt 'P 1'
_space_group_IT_number 1
loop_
_space_group_symop_operation_xyz
'x,y,z'
loop_
_atom_site_label
_atom_site_type_symbol
_atom_site_fract_x
_atom_site_fract_y
_atom_site_fract_z
Ho1 Ho 0.836 0.164 0.500
Ho2 Ho 0.164 0.836 0.500
Se1 Se 0.422 0.088 0.264
Ho3 Ho 0.500 0.500 0.500
Ce1 Ce 0.333 0.667 0.000
Se2 Se 0.247 0.247 0.738
Ce2 Ce 0.667 0.333 0.000
Se3 Se 0.578 0.912 0.736
Pm1 Pm 0.000 0.000 0.000
Se4 Se 0.088 0.422 0.264
Se5 Se 0.912 0.578 0.736
Se6 Se 0.753 0.753 0.262

=====

# LiGe2Se2 PBE optimized geometry
# DFT total energy (eV/f.u.): -19.3
# V (A^3/atom): 21.63
# Calculated density (kg/m³): 4763
# Excess energy over the best structure of this formula in the dataset (kJ/mol of atoms): 0.4
# Space-group type: P4/mbm
data_LiGe2Se2
_chemical_formula_sum 'Li2 Ge4 Se4'
_cell_length_a 7.402
_cell_length_b 7.402
_cell_length_c 3.947
_cell_angle_alpha 90.00
_cell_angle_beta 90.00
_cell_angle_gamma 90.00
_space_group_name_H-M_alt 'P 1'
_space_group_IT_number 1
loop_
_space_group_symop_operation_xyz
'x,y,z'
loop_
_atom_site_label
_atom_site_type_symbol
_atom_site_fract_x
_atom_site_fract_y
_atom_site_fract_z
Ge1 Ge 0.356 0.144 0.500
Ge2 Ge 0.644 0.856 0.500
Se1 Se 0.812 0.688 0.000
Ge3 Ge 0.856 0.356 0.500
Se2 Se 0.188 0.312 0.000
Ge4 Ge 0.144 0.644 0.500
Se3 Se 0.688 0.188 0.000
Li1 Li 0.500 0.500 0.000
Li2 Li 0.000 0.000 0.000
Se4 Se 0.312 0.812 0.000

=====

Q: Which of these has the highest DFT total energy?
A: Na2PPb

=====

Q: DFT total energy of number 1 (Pm5Tl2Au2)?
A: -39.5 eV/f.u.

=====

Q: Among the records above, which one has the highest DFT total energy?
A: Na2PPb

=====

Q: What is the DFT total energy in the seventh record?
A: -72.7 eV/f.u.